1.
Below is a geometry-optimized ErSnP structure, with properties calculated at the GGA-PBE level.

The total energy comes out at -0.1951 Ha/atom. The calculation puts the formation enthalpy at 0 K at -0.65 eV per atom.

The structure belongs to space group R-3m (No. 166, hexagonal axes); the cell edges are 4.9539, 4.9539 and 22.2710 Å and the angles 90.00°, 90.00° and 120.00°. The asymmetric unit holds Er at (0.0000, 0.0000, 0.1019), Sn at (0.0000, 0.0000, 0.3412) and P at (0.0000, 0.0000, 0.2227).

2.
Below is a geometry-optimized CsPuPb2O8 structure, with properties calculated at the GGA-PBE level.

The total energy comes out at -0.2440 Ha/atom. For the formation energy from raw total energies, the calculation gives -1.450 eV/atom.

The structure belongs to space group P-1 (No. 2); the cell edges are 5.060, 5.697 and 8.524 Å and the angles 89.98°, 89.67° and 87.95°. The asymmetric unit holds Cs at (0.000, 0.000, 0.000), Pu at (0.000, 0.000, 0.500), Pb at (0.497, 0.496, 0.306), O at (0.129, 0.498, 0.000), O at (0.188, 0.152, 0.662), O at (0.191, 0.153, 0.337) and O at (0.287, 0.685, 0.500).

3.
Below is a geometry-optimized Hf2TiInN structure, with properties calculated at the GGA-PBE level.

The total energy comes out at -0.3149 Ha/atom. For the formation energy from raw total energies, the calculation gives -0.795 eV/atom.

The structure belongs to space group P4/mmm (No. 123); the cell edges are 4.526, 4.526 and 4.110 Å and the angles 90.00°, 90.00° and 90.00°. The asymmetric unit holds Hf at (0.000, 0.500, 0.000), Ti at (0.000, 0.000, 0.500), In at (0.500, 0.500, 0.500) and N at (0.000, 0.000, 0.000).

4.
Below is a geometry-optimized Rb3TeF structure, with properties calculated at the GGA-PBE level.

The total energy comes out at -0.1094 Ha/atom. For the formation energy from raw total energies, the calculation gives -1.393 eV/atom. As for the energy above the lowest structure with this stoichiometry: 0.287 eV/atom.

The structure belongs to space group Fd-3m (No. 227, origin choice 2); the cell edges are 15.207, 15.207 and 15.207 Å and the angles 90.00°, 90.00° and 90.00°. The asymmetric unit holds Rb at (0.100, 0.375, 0.375), Te at (0.000, 0.000, 0.500) and F at (0.000, 0.000, 0.000).